The following is a DFT calculation (PBE) of crystalline BaMg2Cd6 at its relaxed geometry.

Cell lengths 8.2830, 8.2830, 8.2830 Å; angles 148.20, 122.24, 67.45 degrees
Atoms (fractional coordinates):
Ba  0.0000  0.0000  0.0000
Mg  0.3792  0.8792  0.5000
Mg  0.6208  0.1208  0.5000
Cd  0.0016  0.3089  0.6927
Cd  0.3271  0.5000  0.8271
Cd  0.3838  0.6911  0.6927
Cd  0.6162  0.3089  0.3073
Cd  0.6729  0.5000  0.1729
Cd  0.9984  0.6911  0.3073

Results
E_form, meV/atom: -127
Calculated volume, Å³/atom: 27.8
Polymorph energy (0 for the lowest one), meV per atom: 0
Total magnetization, μB/f.u.: 0.00
E, eV per cell: -11.74

---

The following is a DFT calculation (PBE) of crystalline Ba2Mg9Cd3 at its relaxed geometry.

Cell lengths 9.0346, 9.0346, 11.8599 Å; angles 112.47, 112.47, 59.25 degrees
Atoms (fractional coordinates):
Ba  0.0825  0.2532  0.2436
Ba  0.2532  0.0825  0.7436
Ba  0.7468  0.9175  0.2564
Ba  0.9175  0.7468  0.7564
Mg  0.0380  0.8497  0.0885
Mg  0.1503  0.9620  0.4115
Mg  0.2010  0.3606  0.5730
Mg  0.2300  0.5742  0.2591
Mg  0.3261  0.4887  0.9668
Mg  0.3606  0.2010  0.0730
Mg  0.3758  0.6242  0.7500
Mg  0.4258  0.7700  0.2409
Mg  0.4887  0.3261  0.4668
Mg  0.5113  0.6739  0.5332
Mg  0.5742  0.2300  0.7591
Mg  0.6242  0.3758  0.2500
Mg  0.6394  0.7990  0.9270
Mg  0.6739  0.5113  0.0332
Mg  0.7700  0.4258  0.7409
Mg  0.7990  0.6394  0.4270
Mg  0.8497  0.0380  0.5885
Mg  0.9620  0.1503  0.9115
Cd  0.0000  0.5000  0.0000
Cd  0.1384  0.6834  0.5009
Cd  0.3166  0.8616  0.9991
Cd  0.5000  0.0000  0.5000
Cd  0.6834  0.1384  0.0009
Cd  0.8616  0.3166  0.4991

Results
E_form, meV/atom: -139
Calculated volume, Å³/atom: 26.7
Total magnetization, μB/f.u.: 0.00
E, eV per cell: -45.77

---

The following is a DFT calculation (PBE) of crystalline BaMg2Cd at its relaxed geometry.

Cell lengths 3.7519, 4.8416, 7.2466 Å; angles 90.00, 104.86, 90.00 degrees
Atoms (fractional coordinates):
Ba  0.0000  0.0000  0.0000
Mg  0.3156  0.5000  0.6345
Mg  0.7423  0.0000  0.4882
Cd  0.6300  0.5000  0.2634

Results
E_form, meV/atom: -81
Calculated volume, Å³/atom: 31.8
Total magnetization, μB/f.u.: 0.00
E, eV per cell: -6.35

---

The following is a DFT calculation (PBE) of crystalline Ba2Mg2Cd at its relaxed geometry.

Cell lengths 6.4919, 6.4919, 6.4919 Å; angles 115.47, 115.47, 98.05 degrees
Atoms (fractional coordinates):
Ba  0.2500  0.7500  0.5000
Ba  0.7500  0.2500  0.5000
Mg  0.1631  0.1631  0.0000
Mg  0.8369  0.8369  0.0000
Cd  0.5000  0.5000  0.0000

Results
E_form, meV/atom: 91
Calculated volume, Å³/atom: 40.9
Polymorph energy (0 for the lowest one), meV per atom: 235
Total magnetization, μB/f.u.: 0.00
E, eV per cell: -7.49

---

The following is a DFT calculation (PBE) of crystalline BaMg3Cd at its relaxed geometry.

Cell lengths 6.2050, 6.8685, 7.5417 Å; angles 90.00, 110.60, 90.00 degrees
Atoms (fractional coordinates):
Ba  0.2175  0.2500  0.1825
Ba  0.7825  0.7500  0.8175
Mg  0.2280  0.0215  0.6839
Mg  0.2280  0.4785  0.6839
Mg  0.2552  0.7500  0.3697
Mg  0.7448  0.2500  0.6303
Mg  0.7720  0.5215  0.3161
Mg  0.7720  0.9785  0.3161
Cd  0.3804  0.7500  0.0336
Cd  0.6196  0.2500  0.9664

Results
E_form, meV/atom: -102
Calculated volume, Å³/atom: 30.1
Polymorph energy (0 for the lowest one), meV per atom: 0
Total magnetization, μB/f.u.: 0.00
E, eV per cell: -16.26

---

The following is a DFT calculation (PBE) of crystalline Ba2MgCd2 at its relaxed geometry.

Cell lengths 6.7759, 6.7759, 12.7158 Å; angles 116.30, 116.30, 45.91 degrees
Atoms (fractional coordinates):
Ba  0.0106  0.0106  0.3336
Ba  0.1980  0.1980  0.1144
Ba  0.8020  0.8020  0.8856
Ba  0.9894  0.9894  0.6664
Mg  0.2748  0.2748  0.6364
Mg  0.7252  0.7252  0.3636
Cd  0.3593  0.3593  0.4397
Cd  0.4955  0.4955  0.1165
Cd  0.5045  0.5045  0.8835
Cd  0.6407  0.6407  0.5603

Results
E_form, meV/atom: -240
Calculated volume, Å³/atom: 36.8
Polymorph energy (0 for the lowest one), meV per atom: 0
Total magnetization, μB/f.u.: 0.00
E, eV per cell: -16.94

---

Number 1: density of states at the Fermi level 3.60 states/eV per cell. Number 2: density of states at the Fermi level 18.70 states/eV per cell. Number 3: density of states at the Fermi level 2.27 states/eV per cell. Number 4: density of states at the Fermi level 4.43 states/eV per cell. Number 5: density of states at the Fermi level 5.63 states/eV per cell. Number 6: density of states at the Fermi level 9.97 states/eV per cell.